[1]
The following is a DFT calculation (PBE-GGA) of an optimized crystal structure of BeCr2Au.

abc: 2.6493 2.6493 25.5049
angles: 90.00 90.00 120.00
Space group R-3m (No. 166, hexagonal axes)
Symmetry-distinct sites (fractional):
Be1 0.0000 0.0000 0.0000 [3 per cell]
Cr1 0.0000 0.0000 0.2581 [6 per cell]
Au1 0.0000 0.0000 0.5000 [3 per cell]

Values from the calculation:
**Energy relative to the lowest polymorph listed for this composition**: 0.4655 eV/atom
**Formation enthalpy at 0 K**: 0.527 eV/atom
**Total moment**: 0.00 μB/f.u.
**Raw total energy**: -72.429 eV/cell

[2]
The following is a DFT calculation (PBE-GGA) of an optimized crystal structure of Re2MoIr2.

abc: 8.724 3.923 8.725
angles: 90.00 90.25 90.00
Space group C2/m (No. 12)
Symmetry-distinct sites (fractional):
Re1 0.050 0.000 0.355 [4 per cell]
Re2 0.151 0.500 0.549 [4 per cell]
Mo1 0.147 0.000 0.057 [4 per cell]
Ir1 0.050 0.500 0.851 [4 per cell]
Ir2 0.249 0.500 0.252 [4 per cell]

Values from the calculation:
**Energy relative to the lowest polymorph listed for this composition**: 0.0000 eV/atom
**Formation enthalpy at 0 K**: -0.113 eV/atom
**Total moment**: 0.00 μB/f.u.
**Raw total energy**: -216.062 eV/cell

[3]
The following is a DFT calculation (PBE-GGA) of an optimized crystal structure of NiAsIrCl2.

abc: 4.977 4.977 4.462
angles: 90.00 90.00 90.00
Space group P4/mmm (No. 123)
Symmetry-distinct sites (fractional):
Ni1 0.000 0.000 0.000 [1 per cell]
As1 0.000 0.000 0.500 [1 per cell]
Ir1 0.500 0.500 0.000 [1 per cell]
Cl1 0.000 0.500 0.500 [2 per cell]

Values from the calculation:
**Uncorrected formation energy**: 1.2337 eV/atom
**Total moment**: 2.44 μB/f.u.
**Raw total energy**: -16.817 eV/cell

[4]
The following is a DFT calculation (PBE-GGA) of an optimized crystal structure of SrCl.

abc: 8.330 8.330 8.330
angles: 90.00 90.00 90.00
Space group Fd-3m (No. 227, origin choice 2)
Symmetry-distinct sites (fractional):
Sr1 0.125 0.125 0.125 [8 per cell]
Cl1 0.125 0.125 0.625 [8 per cell]

Values from the calculation:
**Uncorrected formation energy**: -0.8094 eV/atom
**Total moment**: 0.73 μB/f.u.
**Raw total energy**: -41.178 eV/cell

[5]
The following is a DFT calculation (PBE-GGA) of an optimized crystal structure of Be2ZnRu.

abc: 2.862 4.378 7.603
angles: 90.00 90.00 90.00
Space group Cmmm (No. 65)
Symmetry-distinct sites (fractional):
Be1 0.000 0.000 0.233 [4 per cell]
Zn1 0.000 0.500 0.500 [2 per cell]
Ru1 0.000 0.500 0.000 [2 per cell]

Values from the calculation:
**Formation enthalpy at 0 K**: 0.114 eV/atom
**Total moment**: 0.00 μB/f.u.
**Raw total energy**: -35.094 eV/cell

[6]
The following is a DFT calculation (PBE-GGA) of an optimized crystal structure of CsCrB2Br8.

abc: 6.5424 6.5424 30.3276
angles: 90.00 90.00 120.00
Space group R-3 (No. 148, hexagonal axes)
Symmetry-distinct sites (fractional):
Cs1 0.0000 0.0000 0.0000 [3 per cell]
Cr1 0.0000 0.0000 0.5000 [3 per cell]
B1 0.0000 0.0000 0.2440 [6 per cell]
Br1 0.0000 0.0000 0.3112 [6 per cell]
Br2 0.0037 0.2987 0.2228 [18 per cell]

Values from the calculation:
**Uncorrected formation energy**: -0.5928 eV/atom
**Total moment**: 5.00 μB/f.u.
**Raw total energy**: -132.985 eV/cell

[7]
The following is a DFT calculation (PBE-GGA) of an optimized crystal structure of HfTa2ZnH.

abc: 4.017 4.017 4.692
angles: 90.00 90.00 90.00
Space group P4/mmm (No. 123)
Symmetry-distinct sites (fractional):
Hf1 0.000 0.000 0.000 [1 per cell]
Ta1 0.000 0.500 0.500 [2 per cell]
Zn1 0.500 0.500 0.000 [1 per cell]
H1 0.500 0.500 0.500 [1 per cell]

Values from the calculation:
**Energy relative to the lowest polymorph listed for this composition**: 0.0292 eV/atom
**Total moment**: 0.00 μB/f.u.
**Raw total energy**: -38.355 eV/cell

[8]
The following is a DFT calculation (PBE-GGA) of an optimized crystal structure of LaMg2TaCu.

abc: 5.750 5.750 5.114
angles: 90.00 90.00 90.00
Space group P4/mmm (No. 123)
Symmetry-distinct sites (fractional):
La1 0.000 0.000 0.000 [1 per cell]
Mg1 0.000 0.500 0.000 [2 per cell]
Ta1 0.000 0.000 0.500 [1 per cell]
Cu1 0.500 0.500 0.500 [1 per cell]

Values from the calculation:
**Formation enthalpy at 0 K**: 1.884 eV/atom
**Total moment**: 0.00 μB/f.u.
**Raw total energy**: -14.644 eV/cell

- Among the records above, which one has the highest raw total energy?
  LaMg2TaCu

- Which value of total moment does entry 5 give?
  0.00 μB/f.u.